Record 1
# CoSbNO (PBE+U, relaxed)
data_CoSbNO
_chemical_formula_sum 'Co1 Sb1 N1 O1'
_cell_length_a 3.303
_cell_length_b 3.303
_cell_length_c 4.389
_cell_angle_alpha 90.00
_cell_angle_beta 90.00
_cell_angle_gamma 90.00
_symmetry_space_group_name_H-M 'P 1'
_symmetry_Int_Tables_number 1
_symmetry_space_group_name_Hall 'P 1'
loop_
_atom_site_label
_atom_site_type_symbol
_atom_site_fract_x
_atom_site_fract_y
_atom_site_fract_z
Co1 Co 0.000 0.000 0.000
Sb1 Sb 0.500 0.500 0.500
N1 N 0.000 0.000 0.500
O1 O 0.500 0.500 0.000
# **Energy relative to the lowest polymorph listed for this composition**: 1.38 eV per formula unit
# **Energy**: -5.57 eV per atom

---

Record 2
# CoSbNO (PBE+U, relaxed)
data_CoSbNO
_chemical_formula_sum 'Co2 Sb2 N2 O2'
_cell_length_a 4.638
_cell_length_b 4.638
_cell_length_c 4.515
_cell_angle_alpha 90.00
_cell_angle_beta 90.00
_cell_angle_gamma 90.00
_symmetry_space_group_name_H-M 'P 1'
_symmetry_Int_Tables_number 1
_symmetry_space_group_name_Hall 'P 1'
loop_
_atom_site_label
_atom_site_type_symbol
_atom_site_fract_x
_atom_site_fract_y
_atom_site_fract_z
Co1 Co 0.250 0.250 0.003
Co2 Co 0.750 0.750 0.997
Sb1 Sb 0.250 0.750 0.500
Sb2 Sb 0.750 0.250 0.500
N1 N 0.250 0.250 0.504
N2 N 0.750 0.750 0.496
O1 O 0.250 0.750 0.000
O2 O 0.750 0.250 0.000
# **Energy relative to the lowest polymorph listed for this composition**: 1.36 eV per formula unit
# **Energy**: -5.58 eV per atom

---

Record 3
# CoSbNO (PBE+U, relaxed)
data_CoSbNO
_chemical_formula_sum 'Co4 Sb4 N4 O4'
_cell_length_a 5.800
_cell_length_b 8.215
_cell_length_c 5.215
_cell_angle_alpha 90.00
_cell_angle_beta 90.00
_cell_angle_gamma 90.00
_symmetry_space_group_name_H-M 'P 1'
_symmetry_Int_Tables_number 1
_symmetry_space_group_name_Hall 'P 1'
loop_
_atom_site_label
_atom_site_type_symbol
_atom_site_fract_x
_atom_site_fract_y
_atom_site_fract_z
Co1 Co 0.080 0.083 0.000
Co2 Co 0.420 0.083 0.500
Co3 Co 0.580 0.917 0.000
Co4 Co 0.920 0.917 0.500
Sb1 Sb 0.046 0.675 0.023
Sb2 Sb 0.454 0.675 0.523
Sb3 Sb 0.546 0.325 0.023
Sb4 Sb 0.954 0.325 0.523
N1 N 0.094 0.113 0.616
N2 N 0.406 0.113 0.116
N3 N 0.594 0.887 0.616
N4 N 0.906 0.887 0.116
O1 O 0.129 0.733 0.651
O2 O 0.371 0.733 0.151
O3 O 0.629 0.267 0.651
O4 O 0.871 0.267 0.151
# **Energy relative to the lowest polymorph listed for this composition**: 0.00 eV per formula unit
# **Energy**: -5.92 eV per atom

---

Record 4
# CoSbNO (PBE+U, relaxed)
data_CoSbNO
_chemical_formula_sum 'Co2 Sb2 N2 O2'
_cell_length_a 3.527
_cell_length_b 5.435
_cell_length_c 5.796
_cell_angle_alpha 90.00
_cell_angle_beta 90.00
_cell_angle_gamma 90.00
_symmetry_space_group_name_H-M 'P 1'
_symmetry_Int_Tables_number 1
_symmetry_space_group_name_Hall 'P 1'
loop_
_atom_site_label
_atom_site_type_symbol
_atom_site_fract_x
_atom_site_fract_y
_atom_site_fract_z
Co1 Co 0.000 0.210 0.000
Co2 Co 0.000 0.790 0.500
Sb1 Sb 0.500 0.268 0.459
Sb2 Sb 0.500 0.732 0.959
N1 N 0.500 0.379 0.086
N2 N 0.500 0.621 0.586
O1 O 0.000 0.147 0.664
O2 O 0.000 0.853 0.164
# **Energy relative to the lowest polymorph listed for this composition**: 0.73 eV per formula unit
# **Energy**: -5.73 eV per atom

---

Record 5
# CoSiNO (PBE+U, relaxed)
data_CoSiNO
_chemical_formula_sum 'Co2 Si2 N2 O2'
_cell_length_a 2.954
_cell_length_b 5.878
_cell_length_c 4.815
_cell_angle_alpha 90.00
_cell_angle_beta 90.00
_cell_angle_gamma 90.00
_symmetry_space_group_name_H-M 'P 1'
_symmetry_Int_Tables_number 1
_symmetry_space_group_name_Hall 'P 1'
loop_
_atom_site_label
_atom_site_type_symbol
_atom_site_fract_x
_atom_site_fract_y
_atom_site_fract_z
Co1 Co 0.000 0.093 0.000
Co2 Co 0.000 0.907 0.500
Si1 Si 0.500 0.348 0.492
Si2 Si 0.500 0.652 0.992
N1 N 0.000 0.227 0.395
N2 N 0.000 0.773 0.895
O1 O 0.500 0.392 0.838
O2 O 0.500 0.608 0.338
# **Energy relative to the lowest polymorph listed for this composition**: 0.00 eV per formula unit
# **Energy**: -6.97 eV per atom

---

Record 6
# CoSiNO (PBE+U, relaxed)
data_CoSiNO
_chemical_formula_sum 'Co4 Si4 N4 O4'
_cell_length_a 4.900
_cell_length_b 7.047
_cell_length_c 5.351
_cell_angle_alpha 90.00
_cell_angle_beta 90.00
_cell_angle_gamma 90.00
_symmetry_space_group_name_H-M 'P 1'
_symmetry_Int_Tables_number 1
_symmetry_space_group_name_Hall 'P 1'
loop_
_atom_site_label
_atom_site_type_symbol
_atom_site_fract_x
_atom_site_fract_y
_atom_site_fract_z
Co1 Co 0.082 0.077 0.000
Co2 Co 0.418 0.077 0.500
Co3 Co 0.582 0.923 0.000
Co4 Co 0.918 0.923 0.500
Si1 Si 0.199 0.722 0.071
Si2 Si 0.301 0.722 0.571
Si3 Si 0.699 0.278 0.071
Si4 Si 0.801 0.278 0.571
N1 N 0.085 0.154 0.655
N2 N 0.415 0.154 0.155
N3 N 0.585 0.846 0.655
N4 N 0.915 0.846 0.155
O1 O 0.180 0.596 0.810
O2 O 0.320 0.596 0.310
O3 O 0.680 0.404 0.810
O4 O 0.820 0.404 0.310
# **Energy relative to the lowest polymorph listed for this composition**: 1.30 eV per formula unit
# **Energy**: -6.65 eV per atom

---

Record 7
# CoSiNO (PBE+U, relaxed)
data_CoSiNO
_chemical_formula_sum 'Co2 Si2 N2 O2'
_cell_length_a 3.499
_cell_length_b 3.499
_cell_length_c 7.603
_cell_angle_alpha 90.00
_cell_angle_beta 90.00
_cell_angle_gamma 90.00
_symmetry_space_group_name_H-M 'P 1'
_symmetry_Int_Tables_number 1
_symmetry_space_group_name_Hall 'P 1'
loop_
_atom_site_label
_atom_site_type_symbol
_atom_site_fract_x
_atom_site_fract_y
_atom_site_fract_z
Co1 Co 0.250 0.750 0.000
Co2 Co 0.750 0.250 0.000
Si1 Si 0.250 0.250 0.374
Si2 Si 0.750 0.750 0.626
N1 N 0.250 0.250 0.910
N2 N 0.750 0.750 0.090
O1 O 0.250 0.750 0.500
O2 O 0.750 0.250 0.500
# **Energy relative to the lowest polymorph listed for this composition**: 3.67 eV per formula unit
# **Energy**: -6.06 eV per atom

---

Record 8
# CoSiNO (PBE+U, relaxed)
data_CoSiNO
_chemical_formula_sum 'Co2 Si2 N2 O2'
_cell_length_a 3.503
_cell_length_b 3.503
_cell_length_c 7.627
_cell_angle_alpha 90.00
_cell_angle_beta 90.00
_cell_angle_gamma 90.00
_symmetry_space_group_name_H-M 'P 1'
_symmetry_Int_Tables_number 1
_symmetry_space_group_name_Hall 'P 1'
loop_
_atom_site_label
_atom_site_type_symbol
_atom_site_fract_x
_atom_site_fract_y
_atom_site_fract_z
Co1 Co 0.250 0.750 0.000
Co2 Co 0.750 0.250 0.000
Si1 Si 0.250 0.250 0.374
Si2 Si 0.750 0.750 0.626
N1 N 0.250 0.250 0.910
N2 N 0.750 0.750 0.090
O1 O 0.250 0.750 0.500
O2 O 0.750 0.250 0.500
# **Energy relative to the lowest polymorph listed for this composition**: 3.78 eV per formula unit
# **Energy**: -6.03 eV per atom